First-principles (GGA-PBE) data for a geometry-optimized La2ScTl structure, as listed in Alexandria.

Lattice parameters (Å, degrees): 3.792 4.692 6.919 90.00 90.00 90.00
Sites, in units of the cell vectors:
Sc1 0.500 0.500 0.250
Tl1 0.500 0.500 0.750
La1 0.000 0.000 0.996
La2 0.000 0.000 0.504

Results
- DFT total energy: -19.19 eV/f.u.
- Energy of formation from the pure elements: -0.1601 eV/atom
- M_tot: 0.00 μB per cell
- Excess energy over the best structure of this formula in the dataset: 0.11 eV per formula unit
- Symmetry: No. 47